Density functional theory data (PBE-GGA) for a relaxed structure of SnRu.

Properties
energy of formation	338	meV/atom
total magnetization	0.0	μB/cell

```
data_SnRu
_cell_length_a 5.188
_cell_length_b 8.580
_cell_length_c 13.910
_cell_angle_alpha 90.00
_cell_angle_beta 90.00
_cell_angle_gamma 90.00
_symmetry_space_group_name_H-M 'F d d d'
_symmetry_Int_Tables_number 70
loop_
_symmetry_equiv_pos_as_xyz
'x,y,z'
'-x,-y,-z'
'-x+1/4,-y+1/4,z'
'x+1/4,y+1/4,-z'
'x,-y+1/4,-z+1/4'
'-x,y+1/4,z+1/4'
'-x+1/4,y,-z+1/4'
'x+1/4,-y,z+1/4'
'x,y+1/2,z+1/2'
'-x,-y+1/2,-z+1/2'
'-x+1/4,-y+3/4,z+1/2'
'x+1/4,y+3/4,-z+1/2'
'x,-y+3/4,-z+3/4'
'-x,y+3/4,z+3/4'
'-x+1/4,y+1/2,-z+3/4'
'x+1/4,-y+1/2,z+3/4'
'x+1/2,y,z+1/2'
'-x+1/2,-y,-z+1/2'
'-x+3/4,-y+1/4,z+1/2'
'x+3/4,y+1/4,-z+1/2'
'x+1/2,-y+1/4,-z+3/4'
'-x+1/2,y+1/4,z+3/4'
'-x+3/4,y,-z+3/4'
'x+3/4,-y,z+3/4'
'x+1/2,y+1/2,z'
'-x+1/2,-y+1/2,-z'
'-x+3/4,-y+3/4,z'
'x+3/4,y+3/4,-z'
'x+1/2,-y+3/4,-z+1/4'
'-x+1/2,y+3/4,z+1/4'
'-x+3/4,y+1/2,-z+1/4'
'x+3/4,-y+1/2,z+1/4'
loop_
_atom_site_label
_atom_site_type_symbol
_atom_site_fract_x
_atom_site_fract_y
_atom_site_fract_z
Sn1 Sn 0.125 0.292 0.125
Ru1 Ru 0.125 0.125 0.539
```

***

Density functional theory data (PBE-GGA) for a relaxed structure of SnRu.

Properties
energy of formation	868	meV/atom
total magnetization	0.0	μB/cell

```
data_SnRu
_cell_length_a 5.941
_cell_length_b 5.941
_cell_length_c 5.941
_cell_angle_alpha 90.00
_cell_angle_beta 90.00
_cell_angle_gamma 90.00
_symmetry_space_group_name_H-M 'F -4 3 m'
_symmetry_Int_Tables_number 216
_symmetry_space_group_name_Hall 'F -4 2 3'
loop_
_atom_site_label
_atom_site_type_symbol
_atom_site_fract_x
_atom_site_fract_y
_atom_site_fract_z
Sn1 Sn 0.000 0.000 0.000
Ru1 Ru 0.250 0.250 0.250
```

***

Going through the records in order, we get density of states at the Fermi level values of 32.282 1.049 states/eV/cell.